TcNiIr | PBE-GGA | optimized geometry

abc: 2.702 2.702 11.039
angles: 90.00 90.00 90.00
Sites, in units of the cell vectors:
Tc 0.000 0.000 0.000
Tc 0.500 0.500 0.500
Ni 0.000 0.000 0.337
Ni 0.500 0.500 0.837
Ir 0.000 0.000 0.669
Ir 0.500 0.500 0.169

E above lowest polymorph   0.093 eV/atom
DOS(E_F)   8.48 states/eV/cell